[1]
Here is SrTiAlPt2 after structural relaxation from Alexandria via LeMat-Bulk. Energies are from GGA-PBE.

Values from the calculation:
The energy comes out at -29.84 eV/f.u. The calculation puts the formation energy from the elements at -887.9 meV per atom.

The structure in CIF format:
```
data_SrTiAlPt2
_symmetry_space_group_name_H-M 'I -4 m 2'
_symmetry_Int_Tables_number 119
_symmetry_space_group_name_Hall 'I -4 -2'
_cell_length_a 4.217
_cell_length_b 4.217
_cell_length_c 11.547
_cell_angle_alpha 90.00
_cell_angle_beta 90.00
_cell_angle_gamma 90.00
loop_
_atom_site_label
_atom_site_type_symbol
_atom_site_fract_x
_atom_site_fract_y
_atom_site_fract_z
Sr1 Sr 0.000 0.000 0.000
Ti1 Ti 0.000 0.500 0.750
Al1 Al 0.000 0.500 0.250
Pt1 Pt 0.000 0.000 0.380
```


[2]
Here is NaTl2HgPd after structural relaxation from Alexandria via LeMat-Bulk. Energies are from GGA-PBE.

Values from the calculation:
The energy comes out at -11.91 eV/f.u. The calculation puts the formation energy from the elements at -73.3 meV per atom. As for the energy above the most stable polymorph in this dataset: 0.000 eV/atom.

The structure in CIF format:
```
data_NaTl2HgPd
_symmetry_space_group_name_H-M 'P 4/m m m'
_symmetry_Int_Tables_number 123
_symmetry_space_group_name_Hall '-P 4 2'
_cell_length_a 5.310
_cell_length_b 5.310
_cell_length_c 5.495
_cell_angle_alpha 90.00
_cell_angle_beta 90.00
_cell_angle_gamma 90.00
loop_
_atom_site_label
_atom_site_type_symbol
_atom_site_fract_x
_atom_site_fract_y
_atom_site_fract_z
Na1 Na 0.000 0.000 0.000
Tl1 Tl 0.000 0.500 0.500
Hg1 Hg 0.500 0.500 0.000
Pd1 Pd 0.000 0.000 0.500
```


[3]
Here is NaCa3Cd2 after structural relaxation from Alexandria via LeMat-Bulk. Energies are from GGA-PBE.

Values from the calculation:
The energy comes out at -10.55 eV/f.u. The calculation puts the formation energy from the elements at -232.2 meV per atom.

The structure in CIF format:
```
data_NaCa3Cd2
_symmetry_space_group_name_H-M 'P 4/m m m'
_symmetry_Int_Tables_number 123
_symmetry_space_group_name_Hall '-P 4 2'
_cell_length_a 3.863
_cell_length_b 3.863
_cell_length_c 12.755
_cell_angle_alpha 90.00
_cell_angle_beta 90.00
_cell_angle_gamma 90.00
loop_
_atom_site_label
_atom_site_type_symbol
_atom_site_fract_x
_atom_site_fract_y
_atom_site_fract_z
Na1 Na 0.000 0.000 0.000
Ca1 Ca 0.500 0.500 0.206
Ca2 Ca 0.500 0.500 0.500
Cd1 Cd 0.000 0.000 0.349
```


[4]
Here is GaTePd2 after structural relaxation from Alexandria via LeMat-Bulk. Energies are from GGA-PBE.

Values from the calculation:
The energy comes out at -18.54 eV/f.u. The formation energy without anion corrections is -0.496 eV/atom. As for the energy above the most stable polymorph in this dataset: 0.000 eV/atom.

The structure in CIF format:
```
data_GaTePd2
_symmetry_space_group_name_H-M 'P 1 21/c 1'
_symmetry_Int_Tables_number 14
_cell_length_a 7.773
_cell_length_b 6.720
_cell_length_c 6.021
_cell_angle_alpha 90.00
_cell_angle_beta 99.12
_cell_angle_gamma 90.00
loop_
_symmetry_equiv_pos_as_xyz
'x,y,z'
'-x,-y,-z'
'-x,y+1/2,-z+1/2'
'x,-y+1/2,z+1/2'
loop_
_atom_site_label
_atom_site_type_symbol
_atom_site_fract_x
_atom_site_fract_y
_atom_site_fract_z
Ga1 Ga 0.103 0.060 0.331
Te1 Te 0.357 0.567 0.260
Pd1 Pd 0.108 0.692 0.512
Pd2 Pd 0.307 0.200 0.075
```


[5]
Here is Nd4Dy15Y after structural relaxation from Alexandria via LeMat-Bulk. Energies are from GGA-PBE.

Values from the calculation:
The energy comes out at -94.19 eV/f.u. The calculation puts the formation energy from the elements at 19.1 meV per atom.

The structure in CIF format:
```
data_Nd4Dy15Y
_symmetry_space_group_name_H-M 'P 4/m m m'
_symmetry_Int_Tables_number 123
_symmetry_space_group_name_Hall '-P 4 2'
_cell_length_a 5.058
_cell_length_b 5.058
_cell_length_c 25.202
_cell_angle_alpha 90.00
_cell_angle_beta 90.00
_cell_angle_gamma 90.00
loop_
_atom_site_label
_atom_site_type_symbol
_atom_site_fract_x
_atom_site_fract_y
_atom_site_fract_z
Nd1 Nd 0.000 0.000 0.100
Nd2 Nd 0.000 0.000 0.300
Dy1 Dy 0.000 0.500 0.000
Dy2 Dy 0.000 0.500 0.200
Dy3 Dy 0.000 0.500 0.401
Dy4 Dy 0.500 0.500 0.100
Dy5 Dy 0.500 0.500 0.301
Dy6 Dy 0.500 0.500 0.500
Y1 Y 0.000 0.000 0.500
```


[6]
Here is Tb6Cd2Ru after structural relaxation from Alexandria via LeMat-Bulk. Energies are from GGA-PBE.

Values from the calculation:
The energy comes out at -40.37 eV/f.u. The calculation puts the formation energy from the elements at -165.1 meV per atom.

The structure in CIF format:
```
data_Tb6Cd2Ru
_symmetry_space_group_name_H-M 'P 1 21/c 1'
_symmetry_Int_Tables_number 14
_cell_length_a 6.933
_cell_length_b 7.323
_cell_length_c 12.417
_cell_angle_alpha 90.00
_cell_angle_beta 122.72
_cell_angle_gamma 90.00
loop_
_symmetry_equiv_pos_as_xyz
'x,y,z'
'-x,-y,-z'
'-x,y+1/2,-z+1/2'
'x,-y+1/2,z+1/2'
loop_
_atom_site_label
_atom_site_type_symbol
_atom_site_fract_x
_atom_site_fract_y
_atom_site_fract_z
Tb1 Tb 0.155 0.189 0.460
Tb2 Tb 0.282 0.698 0.462
Tb3 Tb 0.342 0.501 0.750
Cd1 Cd 0.206 0.084 0.749
Ru1 Ru 0.000 0.000 0.000
```


[7]
Here is Ge2MoOs after structural relaxation from Alexandria via LeMat-Bulk. Energies are from GGA-PBE.

Values from the calculation:
The energy comes out at -30.66 eV/f.u. The calculation puts the formation energy from the elements at 159.4 meV per atom. As for the energy above the most stable polymorph in this dataset: 0.000 eV/atom.

The structure in CIF format:
```
data_Ge2MoOs
_symmetry_space_group_name_H-M 'F m -3 m'
_symmetry_Int_Tables_number 225
_symmetry_space_group_name_Hall '-F 4 2 3'
_cell_length_a 6.181
_cell_length_b 6.181
_cell_length_c 6.181
_cell_angle_alpha 90.00
_cell_angle_beta 90.00
_cell_angle_gamma 90.00
loop_
_atom_site_label
_atom_site_type_symbol
_atom_site_fract_x
_atom_site_fract_y
_atom_site_fract_z
Ge1 Ge 0.250 0.250 0.250
Mo1 Mo 0.000 0.000 0.000
Os1 Os 0.000 0.000 0.500
```


[8]
Here is In2SeS after structural relaxation from Alexandria via LeMat-Bulk. Energies are from GGA-PBE.

Values from the calculation:
The energy comes out at -14.80 eV/f.u. The formation energy without anion corrections is -0.427 eV/atom. As for the energy above the most stable polymorph in this dataset: 0.000 eV/atom.

The structure in CIF format:
```
data_In2SeS
_symmetry_space_group_name_H-M 'P 3 m 1'
_symmetry_Int_Tables_number 156
_cell_length_a 4.1068
_cell_length_b 4.1068
_cell_length_c 9.4739
_cell_angle_alpha 90.00
_cell_angle_beta 90.00
_cell_angle_gamma 120.00
loop_
_symmetry_equiv_pos_as_xyz
'x,y,z'
'-y,x-y,z'
'-x+y,-x,z'
'-y,-x,z'
'-x+y,y,z'
'x,x-y,z'
loop_
_atom_site_label
_atom_site_type_symbol
_atom_site_fract_x
_atom_site_fract_y
_atom_site_fract_z
In1 In 0.0000 0.0000 0.0000
In2 In 0.3333 0.6667 0.4170
Se1 Se 0.0000 0.0000 0.5481
S1 S 0.3333 0.6667 0.1612
```


[9]
Here is ScCdIr after structural relaxation from Alexandria via LeMat-Bulk. Energies are from GGA-PBE.

Values from the calculation:
The energy comes out at -17.19 eV/f.u. The calculation puts the formation energy from the elements at -362.3 meV per atom.

The structure in CIF format:
```
data_ScCdIr
_symmetry_space_group_name_H-M 'F -4 3 m'
_symmetry_Int_Tables_number 216
_symmetry_space_group_name_Hall 'F -4 2 3'
_cell_length_a 6.388
_cell_length_b 6.388
_cell_length_c 6.388
_cell_angle_alpha 90.00
_cell_angle_beta 90.00
_cell_angle_gamma 90.00
loop_
_atom_site_label
_atom_site_type_symbol
_atom_site_fract_x
_atom_site_fract_y
_atom_site_fract_z
Sc1 Sc 0.000 0.000 0.000
Cd1 Cd 0.000 0.000 0.500
Ir1 Ir 0.250 0.250 0.750
```


[10]
Here is AgC3 after structural relaxation from Alexandria via LeMat-Bulk. Energies are from GGA-PBE.

Values from the calculation:
The energy comes out at -21.36 eV/f.u. The calculation puts the formation energy from the elements at 2290.1 meV per atom. As for the energy above the most stable polymorph in this dataset: 1.332 eV/atom.

The structure in CIF format:
```
data_AgC3
_symmetry_space_group_name_H-M 'R -3 m'
_symmetry_Int_Tables_number 166
_symmetry_space_group_name_Hall '-R 3 2"'
_cell_length_a 2.6707
_cell_length_b 2.6707
_cell_length_c 18.0535
_cell_angle_alpha 90.00
_cell_angle_beta 90.00
_cell_angle_gamma 120.00
loop_
_atom_site_label
_atom_site_type_symbol
_atom_site_fract_x
_atom_site_fract_y
_atom_site_fract_z
Ag1 Ag 0.0000 0.0000 0.0000
C1 C 0.0000 0.0000 0.2134
C2 C 0.0000 0.0000 0.5000
```